Here is crystalline Nd3AsN at its relaxed geometry from the Alexandria database. Energies are from GGA-PBE.

Computed properties:
total magnetization = 0.000 μB/f.u.
E_form (uncorrected) = -1.0189 eV per atom
volume = 512 Å³/cell

Cell: 8.9284 8.9284 6.7430 Å, 98.98 98.98 76.32°
Fractional coordinates of all 20 atoms:
Nd (0.0226, 0.1800, 0.9547)
Nd (0.1480, 0.6585, 0.5389)
Nd (0.1800, 0.0226, 0.4547)
Nd (0.3079, 0.4775, 0.0859)
Nd (0.3415, 0.8520, 0.9611)
Nd (0.4775, 0.3079, 0.5859)
Nd (0.5225, 0.6921, 0.4141)
Nd (0.6585, 0.1480, 0.0389)
Nd (0.6921, 0.5225, 0.9141)
Nd (0.8200, 0.9774, 0.5453)
Nd (0.8520, 0.3415, 0.4611)
Nd (0.9774, 0.8200, 0.0453)
As (0.1454, 0.3629, 0.7048)
As (0.3629, 0.1454, 0.2048)
As (0.6371, 0.8546, 0.7952)
As (0.8546, 0.6371, 0.2952)
N (0.0818, 0.9182, 0.7500)
N (0.2473, 0.7527, 0.2500)
N (0.7527, 0.2473, 0.7500)
N (0.9182, 0.0818, 0.2500)